Entry 1:
A geometry-optimized Pr6As3SCl2 structure. Source: the Alexandria database, functional PBE.

Calculated values
VASP energy in eV per formula unit: -70.0

a = 7.381 Å, b = 12.821 Å, c = 7.291 Å
α = 90.00°, β = 109.71°, γ = 90.00°
Space group C2/m (No. 12)
Unique sites:
Pr  0.227  0.000  0.235 [4 per cell]
Pr  0.246  0.158  0.763 [8 per cell]
As  0.000  0.172  0.000 [4 per cell]
As  0.000  0.500  0.000 [2 per cell]
S  0.000  0.000  0.500 [2 per cell]
Cl  0.000  0.335  0.500 [4 per cell]

***

Entry 2:
A geometry-optimized Cs2TlCd2F7 structure. Source: the Alexandria database, functional PBE.

Calculated values
VASP energy in eV per formula unit: -47.0

a = 4.540 Å, b = 4.540 Å, c = 23.799 Å
α = 90.00°, β = 90.00°, γ = 90.00°
Space group I4/mmm (No. 139)
Unique sites:
Cs  0.000  0.000  0.185 [4 per cell]
Tl  0.000  0.000  0.000 [2 per cell]
Cd  0.000  0.000  0.406 [4 per cell]
F  0.000  0.000  0.311 [4 per cell]
F  0.000  0.000  0.500 [2 per cell]
F  0.000  0.500  0.092 [8 per cell]